Density functional theory data (PBEsol) for crystalline CoPb2Au at its relaxed geometry.

a = 4.111 Å, b = 4.111 Å, c = 5.614 Å
α = 111.48°, β = 111.48°, γ = 90.00°
Fractional coordinates of all 4 atoms:
Pb  0.000  0.000  0.000
Pb  0.750  0.250  0.500
Co  0.250  0.750  0.500
Au  0.500  0.500  0.000

Energy of formation from the pure elements in eV per atom: 0.468
Relative energy among the computed polymorphs in eV per formula unit: 0.389
Total magnetization in μB per atom: 0.311
Total DFT energy (no corrections) in hartree per atom: -0.1634

Density functional theory data (PBEsol) for crystalline Rb2SiSn at its relaxed geometry.

a = 5.836 Å, b = 5.836 Å, c = 5.836 Å
α = 60.00°, β = 60.00°, γ = 60.00°
Fractional coordinates of all 4 atoms:
Si  0.000  0.000  0.000
Sn  0.500  0.500  0.500
Rb  0.250  0.250  0.250
Rb  0.750  0.750  0.750

Formation energy without anion corrections in eV/atom: 0.516
Total magnetization in μB per atom: 0.000
Total DFT energy (no corrections) in hartree per atom: -0.0918

Density functional theory data (PBEsol) for crystalline TaRuW at its relaxed geometry.

a = 4.264 Å, b = 4.264 Å, c = 4.264 Å
α = 60.00°, β = 60.00°, γ = 60.00°
Fractional coordinates of all 3 atoms:
Ru  0.000  0.000  0.000
Ta  0.500  0.500  0.500
W  0.250  0.250  0.250

Energy of formation from the pure elements in eV per atom: 0.842
Relative energy among the computed polymorphs in eV per formula unit: 2.479
Total magnetization in μB per atom: 0.000
Total DFT energy (no corrections) in hartree per atom: -0.4165

Density functional theory data (PBEsol) for crystalline Na2NbH at its relaxed geometry.

a = 5.096 Å, b = 5.096 Å, c = 5.096 Å
α = 60.00°, β = 60.00°, γ = 60.00°
Fractional coordinates of all 4 atoms:
Na  0.250  0.250  0.250
Na  0.750  0.750  0.750
Nb  0.500  0.500  0.500
H  0.000  0.000  0.000

Total magnetization in μB per atom: 1.120
Total DFT energy (no corrections) in hartree per atom: -0.0970